[1]
Density functional theory data (PBE) for Na3BeF4 after structural relaxation.

Summary:
The formation energy without anion corrections comes out at -2576 meV/atom.

The structure in POSCAR format:
```
Na3BeF4
1.0
7.002 0.000 0.000
0.000 7.632 0.000
0.000 0.000 5.077
Na Be F
6 2 8
Direct
0.000 0.132 0.000
0.237 0.695 0.003
0.263 0.305 0.503
0.500 0.868 0.500
0.737 0.305 0.503
0.763 0.695 0.003
0.000 0.904 0.515
0.500 0.096 0.015
0.000 0.113 0.468
0.000 0.864 0.820
0.186 0.830 0.392
0.314 0.170 0.892
0.500 0.136 0.320
0.500 0.887 0.968
0.686 0.170 0.892
0.814 0.830 0.392
```



[2]
Density functional theory data (PBE) for Tm5Tl4Co after structural relaxation.

Summary:
As for the formation energy from the elements: -0.1773 eV per atom.

The structure in POSCAR format:
```
Tm5Tl4Co
1.0
-5.094 5.094 2.592
5.094 -5.094 2.592
5.094 5.094 -2.592
Tm Tl Co
5 4 1
Direct
0.000 0.000 0.000
0.326 0.326 0.652
0.326 0.674 0.000
0.674 0.326 0.000
0.674 0.674 0.348
0.324 0.999 0.325
0.674 0.999 0.675
0.999 0.324 0.325
0.999 0.674 0.675
0.500 0.500 0.000
```



[3]
Density functional theory data (PBE) for Pm2ReSi3 after structural relaxation.

Summary:
The formation energy without anion corrections comes out at -489 meV/atom.

The structure in POSCAR format:
```
Pm2ReSi3
1.0
6.183 -4.117 0.000
6.183 4.117 0.000
0.000 0.000 5.057
Pm Re Si
4 2 6
Direct
0.028 0.679 0.750
0.321 0.972 0.750
0.679 0.028 0.250
0.972 0.321 0.250
0.409 0.591 0.250
0.591 0.409 0.750
0.120 0.880 0.250
0.339 0.339 0.000
0.339 0.339 0.500
0.661 0.661 0.000
0.661 0.661 0.500
0.880 0.120 0.750
```



[4]
Density functional theory data (PBE) for ErIn2Ru after structural relaxation.

Summary:
As for the formation energy from the elements: -0.1665 eV per atom.

The structure in POSCAR format:
```
ErIn2Ru
1.0
3.342 0.000 0.000
0.000 3.342 0.000
0.000 0.000 7.516
Er In Ru
1 2 1
Direct
0.000 0.000 0.000
0.500 0.500 0.295
0.500 0.500 0.705
0.000 0.000 0.500
```



[5]
Density functional theory data (PBE) for Ac8Pt3I4Br after structural relaxation.

Summary:
The formation energy without anion corrections comes out at -1146 meV/atom.

The structure in POSCAR format:
```
Ac8Pt3I4Br
1.0
4.538 2.620 8.554
-4.538 2.620 8.554
0.000 -5.240 8.554
Ac Pt I Br
8 3 4 1
Direct
0.207 0.745 0.745
0.227 0.227 0.227
0.255 0.255 0.793
0.255 0.793 0.255
0.745 0.207 0.745
0.745 0.745 0.207
0.773 0.773 0.773
0.793 0.255 0.255
0.000 0.000 0.500
0.000 0.500 0.000
0.500 0.000 0.000
0.000 0.000 0.000
0.000 0.500 0.500
0.500 0.000 0.500
0.500 0.500 0.000
0.500 0.500 0.500
```



[6]
Density functional theory data (PBE) for Na3LaS4O12 after structural relaxation.

Summary:
The formation energy without anion corrections comes out at -1304 meV/atom.

The structure in POSCAR format:
```
Na3LaS4O12
1.0
5.484 3.166 2.734
-5.484 3.166 2.734
0.000 -6.332 2.734
Na La S O
3 1 4 12
Direct
0.000 0.571 0.429
0.429 0.000 0.571
0.571 0.429 0.000
0.000 0.000 0.000
0.091 0.500 0.909
0.500 0.500 0.500
0.500 0.909 0.091
0.909 0.091 0.500
0.003 0.655 0.785
0.047 0.953 0.500
0.215 0.345 0.997
0.345 0.997 0.215
0.369 0.631 0.500
0.500 0.047 0.953
0.500 0.369 0.631
0.631 0.500 0.369
0.655 0.785 0.003
0.785 0.003 0.655
0.953 0.500 0.047
0.997 0.215 0.345
```



[7]
Density functional theory data (PBE) for Tb3Ce3DyTe8 after structural relaxation.

Summary:
The formation energy without anion corrections comes out at -1392 meV/atom.

The structure in POSCAR format:
```
Tb3Ce3DyTe8
1.0
4.400 2.540 7.272
-4.400 2.540 7.272
0.000 -5.081 7.272
Tb Ce Dy Te
3 3 1 8
Direct
0.000 0.500 0.500
0.500 0.000 0.500
0.500 0.500 0.000
0.000 0.000 0.500
0.000 0.500 0.000
0.500 0.000 0.000
0.000 0.000 0.000
0.252 0.252 0.742
0.252 0.742 0.252
0.253 0.253 0.253
0.258 0.748 0.748
0.742 0.252 0.252
0.747 0.747 0.747
0.748 0.258 0.748
0.748 0.748 0.258
```



[8]
Density functional theory data (PBE) for Ba3ErTi2O9 after structural relaxation.

Summary:
The formation energy without anion corrections comes out at -2993 meV/atom.

The structure in POSCAR format:
```
Ba3ErTi2O9
1.0
5.877 0.000 0.000
-2.939 5.090 0.000
0.000 0.000 7.241
Ba Er Ti O
3 1 2 9
Direct
0.000 0.000 0.000
0.333 0.667 0.680
0.667 0.333 0.320
0.000 0.000 0.500
0.333 0.667 0.172
0.667 0.333 0.828
0.000 0.500 0.000
0.176 0.352 0.318
0.176 0.824 0.318
0.352 0.176 0.682
0.500 0.000 0.000
0.500 0.500 0.000
0.648 0.824 0.318
0.824 0.176 0.682
0.824 0.648 0.682
```